Material: Li2W2O5F2
Method: DFT, GGA+U
State: optimized geometry

a = 3.9459 Å, b = 3.9459 Å, c = 9.3799 Å
α = 102.14°, β = 102.14°, γ = 90.00°
With the nearest neighbours (Å) after each atom.
Atoms (fractional coordinates):
1 Li 0.3242 0.3242 0.6484  1 F 1.85
2 Li 0.6758 0.6758 0.3516  1 F 1.85
3 W 0.1062 0.1062 0.2125  5 O 1.90-1.98, 1 F 2.05
4 W 0.8938 0.8938 0.7875  5 O 1.90-1.98, 1 F 2.05
5 O 0.0000 0.0000 0.0000  2 W 1.90
6 O 0.6170 0.1170 0.2340  2 W 1.98
7 O 0.8830 0.3830 0.7660  2 W 1.98
8 O 0.1170 0.6170 0.2340  2 W 1.98
9 O 0.3830 0.8830 0.7660  2 W 1.98
10 F 0.2208 0.2208 0.4417  1 Li 1.85, 1 W 2.05
11 F 0.7792 0.7792 0.5583  1 Li 1.85, 1 W 2.05

Computed properties:
theoretical density	5.95	g/cm³
energy	-6.466	eV/atom
space-group type	I4/mmm
size of the total moment	2.0	μB/f.u.